Crystalline HoThTaN3 at its relaxed geometry. Source: Alexandria via LeMat-Bulk, functional PBE.

Cell: 3.4454 7.3121 7.8131 Å, 88.03 90.00 90.00°
With the nearest neighbours (Å) after each atom.
Fractional positions:
N 0.2500 0.1152 0.8419  1 Ta 2.06
N 0.7500 0.3704 0.1073  3 Th 2.28-2.49, 2 Ho 2.46
N 0.2500 0.6296 0.8927  3 Th 2.28-2.49, 2 Ho 2.46
N 0.7500 0.8848 0.1581  1 Ta 2.06
N 0.2500 0.8175 0.5484  3 Ta 2.02-2.26
N 0.7500 0.1825 0.4516  3 Ta 2.02-2.26
Ta 0.2500 0.1237 0.5775  4 N 2.02-2.26
Ta 0.7500 0.8763 0.4225  4 N 2.02-2.26
Ho 0.2500 0.1322 0.1400  5 N 2.34-2.50
Ho 0.7500 0.8678 0.8600  5 N 2.34-2.50
Th 0.2500 0.5986 0.1840  3 N 2.28-2.49
Th 0.7500 0.4014 0.8160  3 N 2.28-2.49

Properties
As for the crystal system: monoclinic. As for the space-group type: P2_1/m.

=====

Crystalline RbLiNpO4 at its relaxed geometry. Source: Alexandria via LeMat-Bulk, functional PBE.

Cell: 5.6054 5.7197 8.3559 Å, 90.00 121.88 90.00°
With the nearest neighbours (Å) after each atom.
Fractional positions:
Np 0.7837 0.7500 0.4598  4 O 1.96-2.18
Np 0.2163 0.2500 0.5402  4 O 1.96-2.18
Li 0.8065 0.2500 0.6740  4 O 1.92-1.99
Li 0.1935 0.7500 0.3260  4 O 1.92-1.99
O 0.5813 0.2500 0.7855  1 Li 1.92, 1 Np 1.99
O 0.5454 0.7500 0.5665  1 Li 1.93, 1 Np 1.96
O 0.0569 0.0093 0.6680  1 Li 1.99, 2 Np 2.18-2.20
O 0.4187 0.7500 0.2145  1 Li 1.92, 1 Np 1.99
O 0.9431 0.5093 0.3320  1 Li 1.99, 2 Np 2.18-2.20
O 0.4546 0.2500 0.4335  1 Li 1.93, 1 Np 1.96
O 0.0569 0.4907 0.6680  1 Li 1.99, 2 Np 2.18-2.20
O 0.9431 0.9907 0.3320  1 Li 1.99, 2 Np 2.18-2.20
Rb 0.6178 0.7500 0.9217  5 O 2.78-3.09
Rb 0.3822 0.2500 0.0783  5 O 2.78-3.09

Properties
As for the crystal system: monoclinic. As for the space-group type: P2_1/m.

=====

VASP energy (eV per formula unit)
-55.51, -51.90
Formation energy (no corrections) (eV per atom)
-1.11, -2.32